i:
{
  "formula": "CsWBr6",
  "functional": "GGA-PBE",
  "state": "optimized geometry",
  "lattice_angstrom": [[6.4559, -3.4826, 0.0000], [6.4559, 3.4826, 0.0000], [-2.8701, 0.0000, 12.9915]],
  "species": ["Cs", "Cs", "W", "W", "Br", "Br", "Br", "Br", "Br", "Br", "Br", "Br", "Br", "Br", "Br", "Br"],
  "frac_coords": [[0.1026, 0.8974, 0.7500], [0.8974, 0.1026, 0.2500], [0.0000, 0.5000, 0.0000], [0.5000, 0.0000, 0.5000], [0.1076, 0.2050, 0.5375], [0.1925, 0.3794, 0.8403], [0.2050, 0.1076, 0.0375], [0.3026, 0.5421, 0.1019], [0.3794, 0.1925, 0.3403], [0.4579, 0.6974, 0.3981], [0.5421, 0.3026, 0.6019], [0.6206, 0.8075, 0.6597], [0.6974, 0.4579, 0.8981], [0.7950, 0.8924, 0.9625], [0.8075, 0.6206, 0.1597], [0.8924, 0.7950, 0.4625]],
  "dos_at_fermi_per_ev_cell": 12.32,
  "crystal_system": "monoclinic",
  "space_group": "C2/c"
}

---

ii:
{
  "formula": "CsWBr6",
  "functional": "GGA-PBE",
  "state": "optimized geometry",
  "lattice_angstrom": [[3.6796, 2.1244, 6.6886], [-3.6796, 2.1244, 6.6886], [0.0000, -4.2488, 6.6886]],
  "species": ["Cs", "W", "Br", "Br", "Br", "Br", "Br", "Br"],
  "frac_coords": [[0.0000, 0.0000, 0.0000], [0.5000, 0.5000, 0.5000], [0.1059, 0.5891, 0.5891], [0.4109, 0.4109, 0.8941], [0.4109, 0.8941, 0.4109], [0.5891, 0.1059, 0.5891], [0.5891, 0.5891, 0.1059], [0.8941, 0.4109, 0.4109]],
  "dos_at_fermi_per_ev_cell": 5.37,
  "crystal_system": "trigonal",
  "space_group": "R-3m"
}

---

The energy of each structure relative to the most stable one, in meV per atom, is as follows: i 0; ii 14.

---

i:
{
  "formula": "CsW2Br",
  "functional": "GGA-PBE",
  "state": "optimized geometry",
  "lattice_angstrom": [[-2.3070, 2.3070, 10.9345], [2.3070, -2.3070, 10.9345], [2.3070, 2.3070, -10.9345]],
  "species": ["Cs", "Cs", "W", "W", "W", "W", "Br", "Br"],
  "frac_coords": [[0.0000, 0.0000, 0.0000], [0.7500, 0.2500, 0.5000], [0.2861, 0.1250, 0.6611], [0.3750, 0.7139, 0.8389], [0.4639, 0.6250, 0.3389], [0.8750, 0.5361, 0.1611], [0.2500, 0.7500, 0.5000], [0.5000, 0.5000, 0.0000]],
  "dos_at_fermi_per_ev_cell": 8.62,
  "crystal_system": "tetragonal",
  "space_group": "I-42d"
}

---

ii:
{
  "formula": "CsW2Br",
  "functional": "GGA-PBE",
  "state": "optimized geometry",
  "lattice_angstrom": [[0.0000, 3.4147, 3.4147], [3.4147, 0.0000, 3.4147], [3.4147, 3.4147, 0.0000]],
  "species": ["Cs", "W", "W", "Br"],
  "frac_coords": [[0.0000, 0.0000, 0.0000], [0.2500, 0.2500, 0.2500], [0.7500, 0.7500, 0.7500], [0.5000, 0.5000, 0.5000]],
  "dos_at_fermi_per_ev_cell": 3.01,
  "crystal_system": "cubic",
  "space_group": "Fm-3m"
}

---

The energy of each structure relative to the most stable one, in meV per atom, is as follows: i 0; ii 936.